Record 1
# Tl5ICl4 | Alexandria via LeMat-Bulk | PBE-GGA | optimized geometry
# formation energy from raw total energies = -21.61 kcal/mol of atoms
data_Tl5ICl4
_symmetry_space_group_name_H-M 'C 1 2/m 1'
_symmetry_Int_Tables_number 12
_cell_length_a 15.4894
_cell_length_b 4.6672
_cell_length_c 11.5025
_cell_angle_alpha 90.00
_cell_angle_beta 119.55
_cell_angle_gamma 90.00
loop_
_symmetry_equiv_pos_as_xyz
'x,y,z'
'-x,-y,-z'
'-x,y,-z'
'x,-y,z'
'x+1/2,y+1/2,z'
'-x+1/2,-y+1/2,-z'
'-x+1/2,y+1/2,-z'
'x+1/2,-y+1/2,z'
loop_
_atom_site_label
_atom_site_type_symbol
_atom_site_fract_x
_atom_site_fract_y
_atom_site_fract_z
Tl1 Tl 0.0000 0.0000 0.0000
Tl2 Tl 0.1114 0.5000 0.3892
Tl3 Tl 0.2049 0.0000 0.8157
I1 I 0.0000 0.0000 0.5000
Cl1 Cl 0.0902 0.5000 0.8915
Cl2 Cl 0.2044 0.0000 0.2885

---

Record 2
# RbAg2Br4 | Alexandria via LeMat-Bulk | PBE-GGA | optimized geometry
# energy above the lowest structure with this stoichiometry = 0.0531 eV/atom
# formation energy from raw total energies = -14.49 kcal/mol of atoms
data_RbAg2Br4
_symmetry_space_group_name_H-M 'P -4 2 m'
_symmetry_Int_Tables_number 111
_cell_length_a 5.9043
_cell_length_b 5.9043
_cell_length_c 8.3056
_cell_angle_alpha 90.00
_cell_angle_beta 90.00
_cell_angle_gamma 90.00
loop_
_symmetry_equiv_pos_as_xyz
'x,y,z'
'y,-x,-z'
'-x,-y,z'
'-y,x,-z'
'x,-y,-z'
'y,x,z'
'-x,y,-z'
'-y,-x,z'
loop_
_atom_site_label
_atom_site_type_symbol
_atom_site_fract_x
_atom_site_fract_y
_atom_site_fract_z
Rb1 Rb 0.0000 0.0000 0.0000
Ag1 Ag 0.0000 0.5000 0.5000
Br1 Br 0.2699 0.2699 0.6980

---

Record 3
# KCoSbI2 | Alexandria via LeMat-Bulk | PBE-GGA | optimized geometry
# formation energy from raw total energies = -5.28 kcal/mol of atoms
data_KCoSbI2
_symmetry_space_group_name_H-M 'P 4/m m m'
_symmetry_Int_Tables_number 123
_symmetry_space_group_name_Hall '-P 4 2'
_cell_length_a 5.7954
_cell_length_b 5.7954
_cell_length_c 4.7417
_cell_angle_alpha 90.00
_cell_angle_beta 90.00
_cell_angle_gamma 90.00
loop_
_atom_site_label
_atom_site_type_symbol
_atom_site_fract_x
_atom_site_fract_y
_atom_site_fract_z
K1 K 0.0000 0.0000 0.0000
Co1 Co 0.5000 0.5000 0.5000
Sb1 Sb 0.5000 0.5000 0.0000
I1 I 0.0000 0.5000 0.5000

---

Record 4
# KAsRu2 | Alexandria via LeMat-Bulk | PBE-GGA | optimized geometry
# formation energy from the elements = 0.66 eV per atom
data_KAsRu2
_symmetry_space_group_name_H-M 'I m m m'
_symmetry_Int_Tables_number 71
_symmetry_space_group_name_Hall '-I 2 2'
_cell_length_a 2.9374
_cell_length_b 5.3117
_cell_length_c 9.6044
_cell_angle_alpha 90.00
_cell_angle_beta 90.00
_cell_angle_gamma 90.00
loop_
_atom_site_label
_atom_site_type_symbol
_atom_site_fract_x
_atom_site_fract_y
_atom_site_fract_z
K1 K 0.0000 0.0000 0.0000
As1 As 0.0000 0.0000 0.5000
Ru1 Ru 0.0000 0.5000 0.2004

---

Record 5
# Ca3Ce2TiP6 | Alexandria via LeMat-Bulk | PBE-GGA | optimized geometry
# formation energy from the elements = -1.20 eV per atom
data_Ca3Ce2TiP6
_symmetry_space_group_name_H-M 'C 1 2/m 1'
_symmetry_Int_Tables_number 12
_cell_length_a 6.9300
_cell_length_b 12.0116
_cell_length_c 7.0071
_cell_angle_alpha 90.00
_cell_angle_beta 109.41
_cell_angle_gamma 90.00
loop_
_symmetry_equiv_pos_as_xyz
'x,y,z'
'-x,-y,-z'
'-x,y,-z'
'x,-y,z'
'x+1/2,y+1/2,z'
'-x+1/2,-y+1/2,-z'
'-x+1/2,y+1/2,-z'
'x+1/2,-y+1/2,z'
loop_
_atom_site_label
_atom_site_type_symbol
_atom_site_fract_x
_atom_site_fract_y
_atom_site_fract_z
Ca1 Ca 0.0000 0.0000 0.0000
Ca2 Ca 0.0000 0.3300 0.0000
Ce1 Ce 0.0000 0.1661 0.5000
Ti1 Ti 0.0000 0.5000 0.5000
P1 P 0.2307 0.3439 0.7243
P2 P 0.2357 0.5000 0.2757

---

Record 6
# CrSi2Ag | Alexandria via LeMat-Bulk | PBE-GGA | optimized geometry
# energy above the lowest structure with this stoichiometry = 0.0929 eV/atom
# formation energy from raw total energies = 5.55 kcal/mol of atoms
data_CrSi2Ag
_symmetry_space_group_name_H-M 'P m m 2'
_symmetry_Int_Tables_number 25
_cell_length_a 2.7060
_cell_length_b 4.7005
_cell_length_c 4.4144
_cell_angle_alpha 90.00
_cell_angle_beta 90.00
_cell_angle_gamma 90.00
loop_
_symmetry_equiv_pos_as_xyz
'x,y,z'
'-x,-y,z'
'-x,y,z'
'x,-y,z'
loop_
_atom_site_label
_atom_site_type_symbol
_atom_site_fract_x
_atom_site_fract_y
_atom_site_fract_z
Cr1 Cr 0.0000 0.0000 0.0000
Si1 Si 0.0000 0.5000 0.7499
Si2 Si 0.5000 0.0000 0.5161
Ag1 Ag 0.5000 0.5000 0.2416